A:
Compound: HoTm2Al
Source: Alexandria via LeMat-Bulk
Functional: PBE-GGA
Structure: optimized geometry

V: 26.06 A^3/atom
DOS at the Fermi energy: 1.0764 states/eV/atom

a = 4.7148 Å, b = 4.7018 Å, c = 4.7018 Å
α = 90.00°, β = 90.00°, γ = 90.00°
Closest atoms and distances in Å follow each position.
Atoms (fractional coordinates):
Ho  0.5000  0.5000  0.5000  4 Al 3.32, 8 Tm 3.33
Al  0.5000  0.0000  0.0000  4 Ho 3.32, 8 Tm 3.33
Tm  0.0000  0.0000  0.5000  4 Tm 3.32, 4 Ho 3.33, 4 Al 3.33
Tm  0.0000  0.5000  0.0000  4 Tm 3.32, 4 Al 3.33, 4 Ho 3.33

B:
Compound: HoTm2Al
Source: Alexandria via LeMat-Bulk
Functional: PBE-GGA
Structure: optimized geometry

V: 27.75 A^3/atom
DOS at the Fermi energy: 0.9645 states/eV/atom

a = 3.5281 Å, b = 3.5281 Å, c = 10.4981 Å
α = 80.33°, β = 80.33°, γ = 60.00°
Closest atoms and distances in Å follow each position.
Atoms (fractional coordinates):
Al  0.6664  0.6664  0.0009  6 Tm 3.04-3.05
Tm  0.0732  0.0732  0.7805  3 Al 3.05
Tm  0.2601  0.2601  0.2197  3 Al 3.04
Ho  0.5004  0.5004  0.4989  6 Tm 3.52-3.54, 6 Ho 3.53

C:
Compound: HoTm2Al
Source: Alexandria via LeMat-Bulk
Functional: PBE-GGA
Structure: optimized geometry

V: 26.15 A^3/atom
DOS at the Fermi energy: 1.4772 states/eV/atom

a = 5.2889 Å, b = 5.2889 Å, c = 5.2889 Å
α = 60.00°, β = 60.00°, γ = 60.00°
Closest atoms and distances in Å follow each position.
Atoms (fractional coordinates):
Ho  0.0000  0.0000  0.0000  8 Tm 3.24
Tm  0.7500  0.7500  0.7500  4 Ho 3.24, 4 Al 3.24
Tm  0.2500  0.2500  0.2500  4 Ho 3.24, 4 Al 3.24
Al  0.5000  0.5000  0.5000  8 Tm 3.24

Which of them is most stable? Easy: A.

A:
Compound: Ho3Tm2Al2
Source: Alexandria via LeMat-Bulk
Functional: PBE-GGA
Structure: optimized geometry

V: 26.81 A^3/atom
DOS at the Fermi energy: 0.9682 states/eV/atom

a = 3.4209 Å, b = 3.4252 Å, c = 16.1085 Å
α = 90.00°, β = 83.90°, γ = 90.00°
Closest atoms and distances in Å follow each position.
Atoms (fractional coordinates):
Tm  0.2966  0.5000  0.4068  6 Tm 3.42-3.44, 4 Ho 3.52
Tm  0.7034  0.5000  0.5932  6 Tm 3.42-3.44, 4 Ho 3.52
Ho  0.0000  0.0000  0.0000  8 Al 3.13, 4 Ho 3.42-3.43
Ho  0.1237  0.0000  0.7526  4 Al 3.12, 4 Ho 3.42-3.43
Ho  0.8763  0.0000  0.2474  4 Al 3.12, 4 Ho 3.42-3.43
Al  0.5620  0.5000  0.8759  8 Ho 3.12-3.13, 4 Al 3.42-3.43
Al  0.4380  0.5000  0.1241  8 Ho 3.12-3.13, 4 Al 3.42-3.43

B:
Compound: Ho3Tm2Al2
Source: Alexandria via LeMat-Bulk
Functional: PBE-GGA
Structure: optimized geometry

V: 26.04 A^3/atom
DOS at the Fermi energy: 0.6145 states/eV/atom

a = 5.2225 Å, b = 5.2227 Å, c = 8.2888 Å
α = 108.39°, β = 89.96°, γ = 120.03°
Closest atoms and distances in Å follow each position.
Atoms (fractional coordinates):
Tm  0.9189  0.8377  0.2570  4 Al 3.12-3.16, 3 Ho 3.39
Tm  0.0811  0.1623  0.7430  4 Al 3.12-3.16, 3 Ho 3.39
Ho  0.3471  0.6941  0.5412  1 Al 3.01, 3 Ho 3.08
Ho  0.6529  0.3059  0.4588  1 Al 3.01, 3 Ho 3.08
Ho  0.5000  0.0000  0.0000  6 Al 3.23-3.24, 2 Ho 3.54, 6 Tm 3.61
Al  0.7828  0.5657  0.8480  4 Ho 3.01-3.24, 4 Tm 3.12-3.16
Al  0.2172  0.4343  0.1520  4 Ho 3.01-3.24, 4 Tm 3.12-3.16

Which of them is most stable? Easy: B.

A:
Compound: Ho4TmAl
Source: Alexandria via LeMat-Bulk
Functional: PBE-GGA
Structure: optimized geometry

V: 28.94 A^3/atom
DOS at the Fermi energy: 1.2517 states/eV/atom

a = 6.1818 Å, b = 8.8895 Å, c = 8.1026 Å
α = 113.63°, β = 99.73°, γ = 112.80°
Closest atoms and distances in Å follow each position.
Atoms (fractional coordinates):
Tm  0.6588  0.4088  0.8177  10 Ho 3.39-3.76
Tm  0.3412  0.5912  0.1823  10 Ho 3.39-3.76
Ho  0.6298  0.0867  0.3711  2 Al 3.08-3.09, 3 Ho 3.24-3.36
Ho  0.3702  0.9133  0.6289  2 Al 3.08-3.09, 3 Ho 3.24-3.36
Ho  0.7768  0.3987  0.2360  2 Al 3.20-3.22, 4 Ho 3.24-3.56, 2 Tm 3.39-3.43
Ho  0.7587  0.7156  0.6289  2 Al 3.08-3.09, 3 Ho 3.24-3.36
Ho  0.9593  0.8374  0.2360  2 Al 3.20-3.22, 4 Ho 3.24-3.56, 2 Tm 3.39-3.43
Ho  0.2232  0.6013  0.7640  2 Al 3.20-3.22, 4 Ho 3.24-3.56, 2 Tm 3.39-3.43
Ho  0.2413  0.2844  0.3711  2 Al 3.08-3.09, 3 Ho 3.24-3.36
Ho  0.0407  0.1626  0.7640  2 Al 3.20-3.22, 4 Ho 3.24-3.56, 2 Tm 3.39-3.43
Al  0.2494  0.9994  0.9988  8 Ho 3.08-3.22, 2 Al 3.09
Al  0.7506  0.0006  0.0012  8 Ho 3.08-3.22, 2 Al 3.09

B:
Compound: Ho4TmAl
Source: Alexandria via LeMat-Bulk
Functional: PBE-GGA
Structure: optimized geometry

V: 28.41 A^3/atom
DOS at the Fermi energy: 1.0004 states/eV/atom

a = 3.4974 Å, b = 3.4974 Å, c = 13.9354 Å
α = 90.00°, β = 90.00°, γ = 90.00°
Closest atoms and distances in Å follow each position.
Atoms (fractional coordinates):
Ho  0.0000  0.0000  0.6379  4 Al 3.13, 4 Ho 3.50
Ho  0.5000  0.5000  0.1782  8 Ho 3.50-3.56, 4 Tm 3.50
Ho  0.5000  0.5000  0.8218  8 Ho 3.50-3.56, 4 Tm 3.50
Ho  0.0000  0.0000  0.3621  4 Al 3.13, 4 Ho 3.50
Al  0.5000  0.5000  0.5000  8 Ho 3.13, 4 Al 3.50
Tm  0.0000  0.0000  0.0000  4 Tm 3.50, 8 Ho 3.50

Which of them is most stable? Easy: B.

A:
Compound: HoTm4Al2
Source: Alexandria via LeMat-Bulk
Functional: PBE-GGA
Structure: optimized geometry

V: 27.22 A^3/atom
DOS at the Fermi energy: 1.0794 states/eV/atom

a = 10.2657 Å, b = 6.6601 Å, c = 7.0607 Å
α = 127.87°, β = 90.00°, γ = 90.00°
Closest atoms and distances in Å follow each position.
Atoms (fractional coordinates):
Tm  0.8379  0.4948  0.9951  2 Al 3.10-3.13, 3 Tm 3.28-3.33
Tm  0.2872  0.0036  0.5051  4 Al 2.99-3.23, 2 Tm 3.28
Tm  0.2128  0.5036  0.5051  4 Al 2.99-3.23, 2 Tm 3.28
Tm  0.1621  0.5052  0.0049  2 Al 3.10-3.13, 3 Tm 3.28-3.33
Tm  0.7872  0.4964  0.4949  4 Al 2.99-3.23, 2 Tm 3.28
Tm  0.3379  0.0052  0.0049  2 Al 3.10-3.13, 3 Tm 3.28-3.33
Tm  0.6621  0.9948  0.9951  2 Al 3.10-3.13, 3 Tm 3.28-3.33
Tm  0.7128  0.9964  0.4949  4 Al 2.99-3.23, 2 Tm 3.28
Al  0.4990  0.7112  0.5287  1 Al 2.58
Al  0.5010  0.2888  0.4713  1 Al 2.58
Al  0.0010  0.2112  0.5287  1 Al 2.58
Al  0.9990  0.7888  0.4713  1 Al 2.58
Ho  0.0000  0.0000  0.0000  2 Al 3.08
Ho  0.5000  0.5000  0.0000  2 Al 3.08

B:
Compound: HoTm4Al2
Source: Alexandria via LeMat-Bulk
Functional: PBE-GGA
Structure: optimized geometry

V: 27.93 A^3/atom
DOS at the Fermi energy: 1.1615 states/eV/atom

a = 5.5678 Å, b = 5.5678 Å, c = 7.4341 Å
α = 111.99°, β = 111.99°, γ = 90.00°
Closest atoms and distances in Å follow each position.
Atoms (fractional coordinates):
Tm  0.7500  0.2500  0.5000  2 Tm 3.15, 4 Al 3.26
Tm  0.0000  0.5000  0.0000  2 Ho 2.78
Tm  0.2500  0.7500  0.5000  2 Tm 3.15, 4 Al 3.26
Tm  0.5000  0.0000  0.0000  2 Ho 2.78
Ho  0.0000  0.0000  0.0000  4 Tm 2.78
Al  0.3841  0.3841  0.7682  1 Al 2.92, 8 Tm 3.14-3.26
Al  0.6159  0.6159  0.2318  1 Al 2.92, 8 Tm 3.14-3.26

Which of them is most stable? Easy: A.

A:
Compound: Ho2TmAl2
Source: Alexandria via LeMat-Bulk
Functional: PBE-GGA
Structure: optimized geometry

V: 25.45 A^3/atom
DOS at the Fermi energy: 1.1516 states/eV/atom

a = 4.7407 Å, b = 5.7626 Å, c = 5.7626 Å
α = 68.83°, β = 65.71°, γ = 65.71°
Closest atoms and distances in Å follow each position.
Atoms (fractional coordinates):
Al  0.5000  0.7011  0.2989  1 Al 2.62
Al  0.5000  0.2989  0.7011  1 Al 2.62
Ho  0.1962  0.3038  0.3038  6 Al 3.15-3.17, 1 Ho 3.23, 2 Tm 3.45
Ho  0.8038  0.6962  0.6962  6 Al 3.15-3.17, 1 Ho 3.23, 2 Tm 3.45
Tm  0.0000  0.0000  0.0000  4 Al 3.07

B:
Compound: Ho2TmAl2
Source: Alexandria via LeMat-Bulk
Functional: PBE-GGA
Structure: optimized geometry

V: 24.40 A^3/atom
DOS at the Fermi energy: 0.6061 states/eV/atom

a = 3.6131 Å, b = 5.0948 Å, c = 13.3786 Å
α = 90.00°, β = 97.77°, γ = 90.00°
Closest atoms and distances in Å follow each position.
Atoms (fractional coordinates):
Ho  0.2336  0.7500  0.4680  2 Al 3.06, 4 Ho 3.23-3.24
Ho  0.9532  0.2500  0.9063  8 Al 3.08-3.15
Ho  0.7664  0.2500  0.5320  2 Al 3.06, 4 Ho 3.23-3.24
Ho  0.0468  0.7500  0.0937  8 Al 3.08-3.15
Tm  0.1454  0.2500  0.2923  6 Al 3.12-3.13, 2 Ho 3.45
Tm  0.8546  0.7500  0.7077  6 Al 3.12-3.13, 2 Ho 3.45
Al  0.4496  0.7500  0.8994  2 Tm 3.12, 6 Ho 3.12-3.15
Al  0.5504  0.2500  0.1006  2 Tm 3.12, 6 Ho 3.12-3.15
Al  0.6404  0.7500  0.2816  4 Ho 3.06-3.08, 4 Tm 3.13
Al  0.3596  0.2500  0.7184  4 Ho 3.06-3.08, 4 Tm 3.13

Which of them is most stable? Easy: B.

A:
Compound: Ho2Tm3Al2
Source: Alexandria via LeMat-Bulk
Functional: PBE-GGA
Structure: optimized geometry

V: 25.96 A^3/atom
DOS at the Fermi energy: 0.5281 states/eV/atom

a = 5.2148 Å, b = 5.2150 Å, c = 8.2814 Å
α = 108.35°, β = 90.00°, γ = 120.00°
Closest atoms and distances in Å follow each position.
Atoms (fractional coordinates):
Tm  0.5000  0.0000  0.0000  6 Al 3.24, 2 Tm 3.52, 6 Ho 3.59
Tm  0.6521  0.3041  0.4561  1 Al 3.00, 3 Tm 3.09
Tm  0.3479  0.6959  0.5439  1 Al 3.00, 3 Tm 3.09
Ho  0.9180  0.8361  0.2541  4 Al 3.11-3.15, 3 Tm 3.39
Ho  0.0820  0.1639  0.7459  4 Al 3.11-3.15, 3 Tm 3.39
Al  0.2181  0.4362  0.1545  4 Tm 3.00-3.24, 4 Ho 3.11-3.15
Al  0.7819  0.5638  0.8455  4 Tm 3.00-3.24, 4 Ho 3.11-3.15

B:
Compound: Ho2Tm3Al2
Source: Alexandria via LeMat-Bulk
Functional: PBE-GGA
Structure: optimized geometry

V: 26.50 A^3/atom
DOS at the Fermi energy: 0.9570 states/eV/atom

a = 3.4055 Å, b = 3.4269 Å, c = 15.9839 Å
α = 89.99°, β = 83.90°, γ = 90.00°
Closest atoms and distances in Å follow each position.
Atoms (fractional coordinates):
Al  0.4387  0.5000  0.1226  8 Tm 3.10, 4 Al 3.41-3.43
Al  0.5613  0.5000  0.8774  8 Tm 3.10, 4 Al 3.41-3.43
Tm  0.0000  0.0000  0.0000  8 Al 3.10, 4 Tm 3.41-3.43
Tm  0.8776  0.9999  0.2449  4 Al 3.10, 4 Tm 3.41-3.43
Tm  0.1224  0.0001  0.7551  4 Al 3.10, 4 Tm 3.41-3.43
Ho  0.2979  0.4998  0.4047  6 Ho 3.41-3.48, 4 Tm 3.51
Ho  0.7021  0.5002  0.5953  6 Ho 3.41-3.48, 4 Tm 3.51

Which of them is most stable? Easy: A.